Ce7IrRu5, optimized geometry, DFT PBE; total energy = -0.2836 Ha/atom
1.0
5.944 0.000 0.000
2.972 6.926 -0.165
2.972 -0.187 6.926
Ce Ir Ru
7 1 5
Direct
0.639 0.361 0.361 Ce
0.232 0.768 0.768 Ce
0.996 0.302 0.707 Ce
0.996 0.707 0.302 Ce
0.301 0.199 0.199 Ce
0.550 0.793 0.108 Ce
0.550 0.108 0.793 Ce
0.939 0.061 0.061 Ir
0.505 0.016 0.479 Ru
0.999 0.016 0.479 Ru
0.505 0.479 0.016 Ru
0.999 0.479 0.016 Ru
0.791 0.709 0.709 Ru

CoOs2, optimized geometry, DFT PBE; distance to the lowest polymorph of the same formula = 906 meV/atom; total energy = -0.3274 Ha/atom
1.0
-2.818 -3.361 2.547
-3.772 1.601 2.989
-4.822 -0.807 -1.350
Co Os
2 4
Direct
0.750 0.750 0.750 Co
0.500 0.500 0.500 Co
0.125 0.625 0.125 Os
0.125 0.125 0.625 Os
0.625 0.125 0.125 Os
0.125 0.125 0.125 Os

ThWC3, optimized geometry, DFT PBE; total energy = -0.3338 Ha/atom
1.0
-0.406 3.496 0.937
-0.072 -0.951 3.515
5.842 -0.696 -1.955
Th W C
1 1 3
Direct
0.935 0.935 0.869 Th
0.666 0.666 0.332 W
0.249 0.749 0.498 C
0.749 0.249 0.498 C
0.491 0.491 0.983 C

TaGa3S, optimized geometry, DFT PBE; distance to the lowest polymorph of the same formula = 0 meV/atom; total energy = -0.1519 Ha/atom; formation energy (no corrections) = 20.26 kcal/mol of atoms
1.0
-1.324 3.652 -2.531
-3.664 -2.391 -1.533
-2.513 1.563 3.569
S Ga Ta
1 3 1
Direct
0.000 0.000 0.000 S
0.000 0.500 0.000 Ga
0.000 0.000 0.500 Ga
0.500 0.000 0.000 Ga
0.500 0.500 0.500 Ta

Cs2Te2As, optimized geometry, DFT PBE; distance to the lowest polymorph of the same formula = 226 meV/atom; total energy = -0.1084 Ha/atom; formation energy (no corrections) = -9.74 kcal/mol of atoms
1.0
-0.056 -7.840 1.535
7.756 0.314 1.887
-1.449 1.139 5.766
Cs As Te
4 2 4
Direct
0.171 0.671 0.500 Cs
0.671 0.829 0.500 Cs
0.829 0.329 0.500 Cs
0.329 0.171 0.500 Cs
0.000 0.000 0.000 As
0.500 0.500 0.000 As
0.355 0.855 0.000 Te
0.855 0.645 0.000 Te
0.645 0.145 0.000 Te
0.145 0.355 0.000 Te

Sc6Au5, optimized geometry, DFT PBE; total energy = -0.2071 Ha/atom
1.0
-0.071 -4.010 -2.536
6.807 -0.245 0.194
-3.676 -1.671 7.185
Sc Au
6 5
Direct
0.500 0.755 0.000 Sc
0.500 0.245 0.000 Sc
0.838 0.086 0.677 Sc
0.838 0.591 0.677 Sc
0.162 0.914 0.323 Sc
0.162 0.409 0.323 Sc
0.000 0.500 0.000 Au
0.673 0.673 0.346 Au
0.327 0.327 0.654 Au
0.335 0.835 0.671 Au
0.665 0.165 0.329 Au